Computed, not measured: a geometry-optimized LaCdGa structure at the PBE level of DFT.

Cell: 4.754 4.754 7.182 Å, 90.00 90.00 90.00°
Element x y z (fractional)
Ga 0.500 0.500 0.500
La 0.500 0.000 0.791
La 0.000 0.500 0.209
Cd 0.500 0.000 0.269
Ga 0.000 0.000 0.500
Cd 0.000 0.500 0.731

Computed properties:
The density of states at the Fermi level comes out at 0.2785 states/eV/atom. As for the energy of formation from the pure elements: -0.41 eV per atom.